## Ac5AgTe4 (PBE-GGA)

Data for an optimized crystal structure of Ac5AgTe4.

Summary:
* uncorrected formation energy: -1.226 eV per atom

Lattice parameters (Å, degrees): 25.0679 4.6098 6.7080 90.00 105.48 90.00
Space group C2/m (No. 12)
Inequivalent atoms, fractional coordinates:
1 Ac 0.0000 0.0000 0.0000 x2
2 Ac 0.0929 0.5000 0.5929 x4
3 Ac 0.2007 0.0000 0.2008 x4
4 Ag 0.0000 0.0000 0.5000 x2
5 Te 0.1023 0.5000 0.1022 x4
6 Te 0.1979 0.0000 0.6978 x4